1.
Entry from Alexandria via LeMat-Bulk: LiMg2Ga2 after structural relaxation (PBE).

Structure (POSCAR):
```
LiMg2Ga2
1.0
7.735 0.000 0.000
0.000 7.735 0.000
0.000 0.000 3.310
Li Mg Ga
2 4 4
direct
0.000 0.000 0.000
0.500 0.500 0.000
0.178 0.322 0.500
0.322 0.822 0.500
0.678 0.178 0.500
0.822 0.678 0.500
0.121 0.621 0.000
0.379 0.121 0.000
0.621 0.879 0.000
0.879 0.379 0.000
```

Output
Crystal system: tetragonal
Space group: P4/mbm
DFT formation energy in meV per atom: -145
Calculated density in g cm⁻³: 3.3



2.
Entry from Alexandria via LeMat-Bulk: Ag3CS after structural relaxation (PBE).

Structure (POSCAR):
```
Ag3CS
1.0
4.366 0.000 0.000
0.000 4.366 0.000
0.000 0.000 4.366
Ag C S
3 1 1
direct
0.000 0.000 0.500
0.000 0.500 0.000
0.500 0.000 0.000
0.000 0.000 0.000
0.500 0.500 0.500
```

Output
Crystal system: cubic
Space group: Pm-3m
Raw formation energy in kJ per mole of atoms: 92
Calculated density in g cm⁻³: 7.3



3.
Entry from Alexandria via LeMat-Bulk: SmEr3Pd12 after structural relaxation (PBE).

Structure (POSCAR):
```
SmEr3Pd12
1.0
4.116 0.000 0.000
0.000 4.116 0.000
0.000 0.000 16.531
Sm Er Pd
1 3 12
direct
0.000 0.000 0.000
0.000 0.000 0.253
0.000 0.000 0.500
0.000 0.000 0.747
0.000 0.500 0.129
0.000 0.500 0.376
0.000 0.500 0.624
0.000 0.500 0.871
0.500 0.000 0.129
0.500 0.000 0.376
0.500 0.000 0.624
0.500 0.000 0.871
0.500 0.500 0.000
0.500 0.500 0.252
0.500 0.500 0.500
0.500 0.500 0.748
```

Output
Crystal system: tetragonal
Space group: P4/mmm
DFT formation energy in meV per atom: -877
Calculated density in g cm⁻³: 11.4



Listing total moment for the structures above in their given order: 0.000; 0.000; 0.000 Bohr magnetons per cell.